This record from Alexandria describes a relaxed structure of SrIn2Ru. The functional is PBE.

## Properties
Space-group type: Amm2
Magnetization: 0.00 μB/f.u.
Crystal system: orthorhombic
Energy of formation: 0.6 eV/f.u.

abc: 4.5740 6.0410 6.0410
angles: 37.41 90.00 90.00
With the nearest neighbours (Å) after each atom.
Fractional positions:
Sr 0.0000 0.0000 0.0000  3 In 3.14-3.23, 4 Ru 3.24
In 0.0000 0.2746 0.2746  2 Ru 2.66
In 0.5000 0.6870 0.6870  3 Ru 3.05-3.36, 4 In 3.16
Ru 0.5000 0.3933 0.3933  2 In 2.66